The following is a DFT calculation (PBE with a Hubbard U) of crystalline V4O7F5 at its relaxed geometry.

Computed properties:
**Size of the total moment**: 1.0 μB per formula unit
**Electronic total energy**: -6.699 eV per atom
**Space group**: P1

Unit cell a=5.282 b=5.367 c=7.413 alpha=88.80 beta=89.58 gamma=88.82
Last column: magnetic moment on the atom in μB.
Element x y z (fractional)
O (0.274, 0.780, 0.969)  0.00
V (0.458, 0.519, 0.474)  0.13
F (0.700, 0.787, 0.461)  0.01
V (0.537, 0.472, 0.974)  0.00
F (0.780, 0.296, 0.462)  0.01
O (0.426, 0.504, 0.251)  -0.02
F (0.295, 0.210, 0.535)  0.00
V (0.984, 0.999, 0.529)  1.05
O (0.065, 0.000, 0.249)  -0.01
F (0.223, 0.284, 0.964)  0.00
V (0.041, 0.978, 0.025)  0.00
O (0.725, 0.230, 0.031)  0.00
O (0.571, 0.498, 0.751)  0.00
O (0.933, 0.006, 0.751)  -0.12
O (0.213, 0.708, 0.535)  -0.06
F (0.775, 0.727, 0.039)  0.00